(1)
This record from the Alexandria database describes a relaxed Cu2Ag3Pd7 crystal. The functional is PBE.

Structure (POSCAR):
```
Cu2Ag3Pd7
1.0
0.0000 3.9937 8.3339
2.7981 0.0000 8.3339
2.7981 3.9937 0.0000
Cu Ag Pd
2 3 7
Cartesian
2.7981 3.9937 2.7695
2.7981 3.9937 13.8983
0.0000 0.0000 0.0000
2.7981 3.9937 5.5197
2.7981 3.9937 11.1481
1.3991 1.9969 1.4128
1.3991 1.9969 4.1669
1.3991 1.9969 6.9211
2.7981 3.9937 8.3339
4.1972 5.9906 9.7467
4.1972 5.9906 12.5008
4.1972 5.9906 15.2550
```

=====

(2)
This record from the Alexandria database describes a relaxed Ac2ErPb crystal. The functional is PBE.

Structure (POSCAR):
```
Ac2ErPb
1.0
3.6860 0.0000 0.0000
-1.8430 3.1921 0.0000
0.0000 0.0000 38.5238
Ac Er Pb
6 3 3
Cartesian
0.0000 0.0000 3.4973
0.0000 0.0000 35.0265
0.0000 2.1281 22.1853
0.0000 2.1281 29.1799
1.8430 1.0640 9.3440
1.8430 1.0640 16.3386
0.0000 0.0000 0.0000
0.0000 2.1281 25.6826
1.8430 1.0640 12.8413
0.0000 0.0000 19.2619
0.0000 2.1281 6.4207
1.8430 1.0640 32.1032
```

=====

(3)
This record from the Alexandria database describes a relaxed BaNaCuCl4 crystal. The functional is PBE.

Results
Energy relative to the elements, uncorrected ... -1.6660 eV per atom

Structure (POSCAR):
```
BaNaCuCl4
1.0
6.7200 0.0000 0.0000
0.0000 6.9557 0.0000
-2.5554 0.0000 7.9600
Ba Na Cu Cl
2 2 2 8
Cartesian
0.5600 1.7389 3.4315
3.6047 5.2168 4.5285
-0.5424 1.7389 7.4999
4.7070 5.2168 0.4601
1.4033 5.2168 1.4456
2.7613 1.7389 6.5144
-2.0315 5.2168 7.3160
-0.4566 5.2168 2.9670
1.3506 3.4991 5.9728
1.3506 6.9345 5.9728
2.8140 0.0212 1.9872
2.8140 3.4566 1.9872
4.6213 1.7389 4.9930
6.1961 1.7389 0.6440
```

=====

| no. | total DFT energy (no corrections) (eV/cell) |
| --- | --- |
| 1 | -53.33 |
| 2 | -47.79 |
| 3 | -52.77 |